RbTeSe | GGA-PBE | relaxed

Results
total DFT energy (no corrections): -18.94 eV/cell
formation energy from raw total energies: -0.63 eV/atom
E above lowest polymorph: 30 meV/atom

a = 5.589 Å, b = 4.318 Å, c = 9.802 Å
α = 90.00°, β = 96.79°, γ = 90.00°
Space group Pm (No. 6)
Inequivalent atoms, fractional coordinates:
Rb 0.000 0.000 0.000 (multiplicity 1)
Rb 0.401 0.000 0.640 (multiplicity 1)
Te 0.473 0.500 0.187 (multiplicity 1)
Te 0.756 0.000 0.362 (multiplicity 1)
Se 0.518 0.500 0.929 (multiplicity 1)
Se 0.910 0.500 0.544 (multiplicity 1)

---

CdCu2Pb | GGA-PBE | relaxed

Results
total DFT energy (no corrections): -45.21 eV/cell
E above lowest polymorph: 227 meV/atom

a = 4.354 Å, b = 4.354 Å, c = 18.214 Å
α = 90.00°, β = 90.00°, γ = 90.00°
Space group I-42d (No. 122)
Inequivalent atoms, fractional coordinates:
Cd 0.000 0.000 0.000 (multiplicity 4)
Cu 0.172 0.250 0.125 (multiplicity 8)
Pb 0.000 0.000 0.500 (multiplicity 4)

---

YHo2Pd9 | GGA-PBE | relaxed

Results
total DFT energy (no corrections): -72.80 eV/cell

a = 4.121 Å, b = 4.121 Å, c = 12.359 Å
α = 90.00°, β = 90.00°, γ = 90.00°
Space group P4/mmm (No. 123)
Inequivalent atoms, fractional coordinates:
Y 0.000 0.000 0.000 (multiplicity 1)
Ho 0.000 0.000 0.335 (multiplicity 2)
Pd 0.000 0.500 0.168 (multiplicity 4)
Pd 0.000 0.500 0.500 (multiplicity 2)
Pd 0.500 0.500 0.000 (multiplicity 1)
Pd 0.500 0.500 0.334 (multiplicity 2)

---

CePu2In6 | GGA-PBE | relaxed

Results
total DFT energy (no corrections): -159.91 eV/cell

a = 8.9916 Å, b = 8.9916 Å, c = 9.9662 Å
α = 90.00°, β = 90.00°, γ = 120.00°
Space group R-3m (No. 166, hexagonal axes)
Inequivalent atoms, fractional coordinates:
Ce 0.0000 0.0000 0.0000 (multiplicity 3)
Pu 0.0000 0.0000 0.3309 (multiplicity 6)
In 0.0000 0.3323 0.5000 (multiplicity 18)

---

Sr3H5Cl | GGA-PBE | relaxed

Results
total DFT energy (no corrections): -126.31 eV/cell

a = 4.022 Å, b = 13.421 Å, c = 11.362 Å
α = 90.00°, β = 90.00°, γ = 90.00°
Space group Cmcm (No. 63)
Inequivalent atoms, fractional coordinates:
Sr 0.000 0.081 0.250 (multiplicity 4)
Sr 0.000 0.376 0.045 (multiplicity 8)
H 0.000 0.000 0.000 (multiplicity 4)
H 0.000 0.192 0.069 (multiplicity 8)
H 0.000 0.459 0.640 (multiplicity 8)
Cl 0.000 0.151 0.750 (multiplicity 4)

---

SrCrReN2 | GGA-PBE | relaxed

Results
total DFT energy (no corrections): -23.81 eV/cell
formation energy from raw total energies: 3.32 eV/atom

a = 4.292 Å, b = 4.292 Å, c = 5.031 Å
α = 90.00°, β = 90.00°, γ = 90.00°
Space group P4/mmm (No. 123)
Inequivalent atoms, fractional coordinates:
Sr 0.000 0.000 0.000 (multiplicity 1)
Cr 0.000 0.000 0.500 (multiplicity 1)
Re 0.500 0.500 0.500 (multiplicity 1)
N 0.000 0.500 0.000 (multiplicity 2)

---

Na4I3Br | GGA-PBE | relaxed

Results
total DFT energy (no corrections): -44.42 eV/cell
formation energy from raw total energies: -1.33 eV/atom
E above lowest polymorph: 0 meV/atom

a = 7.874 Å, b = 9.069 Å, c = 7.834 Å
α = 90.00°, β = 109.43°, γ = 90.00°
Space group P2/c (No. 13)
Inequivalent atoms, fractional coordinates:
Na 0.235 0.116 0.003 (multiplicity 4)
Na 0.245 0.367 0.491 (multiplicity 4)
I 0.000 0.373 0.750 (multiplicity 2)
I 0.500 0.124 0.750 (multiplicity 2)
I 0.500 0.372 0.250 (multiplicity 2)
Br 0.000 0.122 0.250 (multiplicity 2)

---

Cd6Sn2Hg | GGA-PBE | relaxed

Results
total DFT energy (no corrections): -26.63 eV/cell
E above lowest polymorph: 0 meV/atom

a = 13.090 Å, b = 5.985 Å, c = 5.866 Å
α = 90.00°, β = 98.73°, γ = 90.00°
Space group C2/m (No. 12)
Inequivalent atoms, fractional coordinates:
Cd 0.132 0.247 0.388 (multiplicity 8)
Cd 0.204 0.000 0.848 (multiplicity 4)
Sn 0.087 0.500 0.833 (multiplicity 4)
Hg 0.000 0.000 0.000 (multiplicity 2)

---

Sr2TcAs | GGA-PBE | relaxed

Results
total DFT energy (no corrections): -17.48 eV/cell

a = 4.888 Å, b = 4.888 Å, c = 4.337 Å
α = 90.00°, β = 90.00°, γ = 90.00°
Space group P4/mmm (No. 123)
Inequivalent atoms, fractional coordinates:
Sr 0.000 0.500 0.000 (multiplicity 2)
Tc 0.000 0.000 0.500 (multiplicity 1)
As 0.500 0.500 0.500 (multiplicity 1)

---

Ac12Tl4CdN3 | GGA-PBE | relaxed

Results
total DFT energy (no corrections): -184.82 eV/cell
formation energy from raw total energies: -0.39 eV/atom

a = 11.097 Å, b = 11.097 Å, c = 11.097 Å
α = 90.00°, β = 90.00°, γ = 90.00°
Space group Im-3m (No. 229)
Inequivalent atoms, fractional coordinates:
Ac 0.000 0.000 0.277 (multiplicity 12)
Ac 0.000 0.250 0.500 (multiplicity 12)
Tl 0.250 0.250 0.250 (multiplicity 8)
Cd 0.000 0.000 0.000 (multiplicity 2)
N 0.000 0.000 0.500 (multiplicity 6)

---

Sm4Ho2Er | GGA-PBE | relaxed

Results
total DFT energy (no corrections): -257.74 eV/cell
E above lowest polymorph: 0 meV/atom

a = 11.883 Å, b = 24.059 Å, c = 6.422 Å
α = 90.00°, β = 90.00°, γ = 90.00°
Space group Fdd2 (No. 43)
Inequivalent atoms, fractional coordinates:
Sm 0.053 0.430 0.000 (multiplicity 16)
Sm 0.069 0.356 0.468 (multiplicity 16)
Ho 0.025 0.285 0.943 (multiplicity 16)
Er 0.000 0.000 0.006 (multiplicity 8)

---

DyHg2Au | GGA-PBE | relaxed

Results
total DFT energy (no corrections): -10.07 eV/cell
E above lowest polymorph: 55 meV/atom

a = 4.362 Å, b = 4.362 Å, c = 4.885 Å
α = 90.00°, β = 90.00°, γ = 90.00°
Space group P4/mmm (No. 123)
Inequivalent atoms, fractional coordinates:
Dy 0.000 0.000 0.000 (multiplicity 1)
Hg 0.000 0.500 0.500 (multiplicity 2)
Au 0.500 0.500 0.000 (multiplicity 1)

---

Cs3SiS3 | GGA-PBE | relaxed

Results
total DFT energy (no corrections): -213.91 eV/cell
formation energy from raw total energies: -0.91 eV/atom

a = 20.054 Å, b = 7.529 Å, c = 13.559 Å
α = 90.00°, β = 90.00°, γ = 90.00°
Space group Cmce (No. 64)
Inequivalent atoms, fractional coordinates:
Cs 0.000 0.119 0.173 (multiplicity 8)
Cs 0.178 0.153 0.871 (multiplicity 16)
Si 0.078 0.000 0.500 (multiplicity 8)
S 0.000 0.197 0.431 (multiplicity 8)
S 0.141 0.134 0.609 (multiplicity 16)

---

Na2HgF3 | GGA-PBE | relaxed

Results
total DFT energy (no corrections): -41.98 eV/cell
formation energy from raw total energies: -2.07 eV/atom

a = 3.299 Å, b = 5.015 Å, c = 10.960 Å
α = 90.00°, β = 90.00°, γ = 90.00°
Space group Immm (No. 71)
Inequivalent atoms, fractional coordinates:
Na 0.000 0.000 0.166 (multiplicity 4)
Hg 0.000 0.000 0.500 (multiplicity 2)
F 0.000 0.500 0.191 (multiplicity 4)
F 0.000 0.500 0.500 (multiplicity 2)

---

CrSbOs | GGA-PBE | relaxed

Results
total DFT energy (no corrections): -47.35 eV/cell
formation energy from raw total energies: 0.43 eV/atom
E above lowest polymorph: 175 meV/atom

a = 2.945 Å, b = 2.945 Å, c = 11.207 Å
α = 90.00°, β = 90.00°, γ = 90.00°
Space group I4mm (No. 107)
Inequivalent atoms, fractional coordinates:
Cr 0.000 0.000 0.000 (multiplicity 2)
Sb 0.000 0.000 0.678 (multiplicity 2)
Os 0.000 0.000 0.372 (multiplicity 2)

---

Li3IrCl | GGA-PBE | relaxed

Results
total DFT energy (no corrections): -17.00 eV/cell
formation energy from raw total energies: -0.11 eV/atom
E above lowest polymorph: 0 meV/atom

a = 4.423 Å, b = 4.423 Å, c = 4.423 Å
α = 90.00°, β = 90.00°, γ = 90.00°
Space group Pm-3m (No. 221)
Inequivalent atoms, fractional coordinates:
Li 0.000 0.000 0.500 (multiplicity 3)
Ir 0.500 0.500 0.500 (multiplicity 1)
Cl 0.000 0.000 0.000 (multiplicity 1)

---

InGeMo2 | GGA-PBE | relaxed

Results
total DFT energy (no corrections): -107.18 eV/cell
E above lowest polymorph: 125 meV/atom

a = 3.971 Å, b = 3.971 Å, c = 19.401 Å
α = 90.00°, β = 90.00°, γ = 90.00°
Space group I-42d (No. 122)
Inequivalent atoms, fractional coordinates:
In 0.000 0.000 0.000 (multiplicity 4)
Ge 0.000 0.000 0.500 (multiplicity 4)
Mo 0.189 0.250 0.625 (multiplicity 8)

---

LiTl2AgAs | GGA-PBE | relaxed

Results
total DFT energy (no corrections): -13.04 eV/cell

a = 5.192 Å, b = 5.192 Å, c = 4.622 Å
α = 90.00°, β = 90.00°, γ = 90.00°
Space group P4/mmm (No. 123)
Inequivalent atoms, fractional coordinates:
Li 0.000 0.000 0.000 (multiplicity 1)
Tl 0.000 0.500 0.000 (multiplicity 2)
Ag 0.500 0.500 0.500 (multiplicity 1)
As 0.000 0.000 0.500 (multiplicity 1)

---

Pu5Sb2P2 | GGA-PBE | relaxed

Results
total DFT energy (no corrections): -391.66 eV/cell
formation energy from raw total energies: -0.80 eV/atom

a = 15.294 Å, b = 7.807 Å, c = 7.806 Å
α = 90.00°, β = 90.00°, γ = 90.00°
Space group Cmce (No. 64)
Inequivalent atoms, fractional coordinates:
Pu 0.000 0.000 0.000 (multiplicity 4)
Pu 0.121 0.152 0.349 (multiplicity 16)
Sb 0.204 0.000 0.000 (multiplicity 8)
P 0.000 0.151 0.652 (multiplicity 8)

---

BaCdInAg3 | GGA-PBE | relaxed

Results
total DFT energy (no corrections): -58.78 eV/cell

a = 6.796 Å, b = 13.569 Å, c = 7.055 Å
α = 90.00°, β = 90.00°, γ = 90.00°
Space group Cmcm (No. 63)
Inequivalent atoms, fractional coordinates:
Ba 0.000 0.205 0.250 (multiplicity 4)
Cd 0.000 0.449 0.250 (multiplicity 4)
In 0.000 0.133 0.750 (multiplicity 4)
Ag 0.000 0.343 0.750 (multiplicity 4)
Ag 0.206 0.000 0.000 (multiplicity 8)